The following is a PBE-GGA calculation of crystalline RbPAuO at its relaxed geometry, from the Open Quantum Materials Database.

a = 4.419 Å, b = 4.419 Å, c = 10.290 Å
α = 90.00°, β = 90.00°, γ = 90.00°
Sites, in units of the cell vectors:
Au (0.000, 0.000, 0.500)
Au (0.500, 0.500, 0.500)
O (0.000, 0.000, 0.000)
O (0.500, 0.500, 0.000)
P (0.500, 0.000, 0.389)
P (0.000, 0.500, 0.611)
Rb (0.000, 0.500, 0.152)
Rb (0.500, 0.000, 0.848)

Summary:
For the distance to the lowest polymorph of the same formula, the calculation gives 0.538 eV/atom. As for the volume: 201 Å³/cell. Its space group is P4/nmm.

***

The following is a PBE-GGA calculation of crystalline RbPAuO at its relaxed geometry, from the Open Quantum Materials Database.

a = 3.888 Å, b = 5.906 Å, c = 8.065 Å
α = 90.00°, β = 90.00°, γ = 90.00°
Sites, in units of the cell vectors:
Au (0.000, 0.598, 0.461)
Au (0.000, 0.402, 0.961)
O (0.500, 0.697, 0.436)
O (0.500, 0.303, 0.936)
P (0.000, 0.310, 0.251)
P (0.000, 0.690, 0.751)
Rb (0.500, 0.865, 0.107)
Rb (0.500, 0.135, 0.607)

Summary:
For the distance to the lowest polymorph of the same formula, the calculation gives 0.339 eV/atom. As for the volume: 185 Å³/cell. Its space group is Pmc2_1.

***

The following is a PBE-GGA calculation of crystalline RbPAuO at its relaxed geometry, from the Open Quantum Materials Database.

a = 4.707 Å, b = 4.707 Å, c = 9.134 Å
α = 90.00°, β = 90.00°, γ = 90.00°
Sites, in units of the cell vectors:
Au (0.000, 0.500, 0.015)
Au (0.500, 0.000, 0.985)
O (0.000, 0.000, 0.000)
O (0.500, 0.500, 0.000)
P (0.000, 0.500, 0.265)
P (0.500, 0.000, 0.735)
Rb (0.000, 0.000, 0.500)
Rb (0.500, 0.500, 0.500)

Summary:
For the distance to the lowest polymorph of the same formula, the calculation gives 1.128 eV/atom. As for the volume: 202 Å³/cell. Its space group is P4/nmm.

***

The following is a PBE-GGA calculation of crystalline RbPAuO at its relaxed geometry, from the Open Quantum Materials Database.

a = 3.449 Å, b = 10.400 Å, c = 4.694 Å
α = 90.00°, β = 90.00°, γ = 90.00°
Sites, in units of the cell vectors:
Au (0.500, 0.683, 0.060)
Au (0.500, 0.317, 0.560)
O (0.500, 0.873, 0.073)
O (0.500, 0.127, 0.573)
P (0.000, 0.525, 0.048)
P (0.000, 0.475, 0.548)
Rb (0.000, 0.112, 0.072)
Rb (0.000, 0.888, 0.572)

Summary:
For the distance to the lowest polymorph of the same formula, the calculation gives 0.000 eV/atom. As for the volume: 168 Å³/cell. Its space group is Pmc2_1.